{
  "formula": "NaHg2N",
  "functional": "GGA-PBE",
  "state": "relaxed",
  "lattice": [[-4.941, 2.079, -3.767], [-0.914, -6.113, -2.174], [-6.262, -2.900, 0.915]],
  "species": ["Na", "Hg", "N", "N", "Hg", "Hg", "Na", "Hg"],
  "frac_coords": [[0.000, 0.000, 0.000], [0.258, 0.625, 0.250], [0.250, 0.750, 0.500], [0.500, 0.500, 0.000], [0.375, 0.508, 0.750], [0.492, 0.125, 0.250], [0.750, 0.250, 0.500], [0.875, 0.742, 0.750]],
  "space_group": "I-42d (122)",
  "total_energy_ev_per_atom": -1.902
}

---

{
  "formula": "ZrSc",
  "functional": "GGA-PBE",
  "state": "relaxed",
  "lattice": [[-1.879, -3.265, 0.186], [1.529, -1.067, -3.279], [5.090, -2.744, 3.266]],
  "species": ["Sc", "Zr", "Zr", "Sc"],
  "frac_coords": [[0.500, 0.500, 0.265], [0.500, 0.500, 0.733], [0.000, 0.000, 0.517], [0.000, 0.000, 0.985]],
  "e_form_ev_per_atom": 0.07,
  "space_group": "P4/nmm (129)"
}

---

{
  "formula": "Dy2CdPt",
  "functional": "GGA-PBE",
  "state": "relaxed",
  "lattice": [[3.594, 0.000, 0.000], [0.000, 3.594, 0.000], [0.000, 0.000, 7.326]],
  "species": ["Dy", "Dy", "Cd", "Pt"],
  "frac_coords": [[0.000, 0.000, 0.776], [0.000, 0.000, 0.224], [0.500, 0.500, 0.500], [0.500, 0.500, 0.000]],
  "e_form_ev_per_atom": -0.79,
  "de_polymorph_mev_per_atom": 0,
  "space_group": "P4/mmm (123)"
}

---

{
  "formula": "NaCdCuO2",
  "functional": "GGA-PBE",
  "state": "relaxed",
  "lattice": [[-1.975, 0.593, 4.383], [4.565, -1.491, 2.259], [1.924, 5.995, 0.056]],
  "species": ["Cd", "Cu", "Cd", "Cu", "Na", "O", "O", "O", "O", "Na"],
  "frac_coords": [[0.500, 0.000, 0.750], [0.000, 0.000, 0.500], [0.500, 0.000, 0.250], [0.000, 0.000, 0.000], [0.999, 0.500, 0.250], [0.268, 0.240, 0.000], [0.268, 0.760, 0.500], [0.732, 0.760, 0.000], [0.732, 0.240, 0.500], [0.001, 0.500, 0.750]],
  "space_group": "P2/c (13)",
  "total_energy_ev_per_atom": -4.175
}

---

{
  "formula": "Ti4Zn5Au6",
  "functional": "GGA-PBE",
  "state": "relaxed",
  "lattice": [[3.131, 0.000, 0.000], [-1.566, 10.982, 0.000], [0.000, 0.000, 14.760]],
  "species": ["Au", "Au", "Au", "Ti", "Ti", "Au", "Au", "Au", "Zn", "Zn", "Au", "Zn", "Au", "Zn", "Au", "Zn", "Zn", "Zn", "Au", "Ti", "Au", "Au", "Zn", "Ti", "Ti", "Zn", "Ti", "Ti", "Ti", "Zn"],
  "frac_coords": [[0.721, 0.442, 0.308], [0.215, 0.431, 0.501], [0.528, 0.056, 0.339], [0.118, 0.237, 0.264], [0.981, 0.961, 0.000], [0.472, 0.944, 0.839], [0.400, 0.800, 0.112], [0.416, 0.831, 0.422], [0.517, 0.033, 0.162], [0.675, 0.350, 0.804], [0.785, 0.569, 0.001], [0.373, 0.746, 0.934], [0.097, 0.195, 0.084], [0.483, 0.967, 0.662], [0.584, 0.169, 0.922], [0.627, 0.254, 0.434], [0.308, 0.617, 0.629], [0.692, 0.383, 0.129], [0.903, 0.805, 0.584], [0.811, 0.623, 0.457], [0.279, 0.558, 0.808], [0.600, 0.200, 0.612], [0.808, 0.616, 0.171], [0.882, 0.763, 0.764], [0.019, 0.039, 0.500], [0.192, 0.384, 0.671], [0.189, 0.377, 0.957], [0.933, 0.866, 0.267], [0.067, 0.134, 0.767], [0.325, 0.650, 0.304]],
  "e_form_ev_per_atom": -0.25,
  "space_group": "Cmc2_1 (36)"
}

---

{
  "formula": "Er6Zn5Cu",
  "functional": "GGA-PBE",
  "state": "relaxed",
  "lattice": [[4.716, -0.028, 1.571], [0.038, 7.068, 0.013], [-0.002, -0.014, 7.865]],
  "species": ["Er", "Er", "Er", "Cu", "Er", "Zn", "Er", "Zn", "Zn", "Er", "Zn", "Zn"],
  "frac_coords": [[0.165, 0.752, 0.671], [0.835, 0.248, 0.329], [0.500, 0.246, 0.000], [0.000, 0.000, 0.000], [0.500, 0.754, 0.000], [0.000, 0.500, 0.000], [0.835, 0.752, 0.329], [0.330, 0.000, 0.340], [0.332, 0.500, 0.336], [0.165, 0.248, 0.671], [0.670, 0.000, 0.660], [0.668, 0.500, 0.664]],
  "e_form_ev_per_atom": -0.33,
  "space_group": "Cmmm (65)"
}